Below is a relaxed structure of Ca2ReHg, with properties calculated at the PBEsol level.

Energy relative to the elements ... 145 kJ/mol of formula units

Cell: 3.006 3.006 9.462 Å, 90.00 90.00 90.00°
Atoms (fractional coordinates):
Hg 0.500 0.500 0.000
Ca 0.000 0.000 0.736
Re 0.500 0.500 0.500
Ca 0.000 0.000 0.264



Below is a relaxed structure of Ca2ReHg, with properties calculated at the PBEsol level.

Energy relative to the elements ... 198 kJ/mol of formula units

Cell: 4.537 5.312 4.537 Å, 64.72 90.00 115.28°
Each line ends with the local moment (μB).
Atoms (fractional coordinates):
Hg 0.000 0.000 0.000  -0.02
Re 0.500 0.000 0.500  0.74
Ca 0.250 0.500 0.250  0.00
Ca 0.750 0.500 0.750  0.00



Below is a relaxed structure of CaReTc2Hg, with properties calculated at the PBEsol level.

Energy relative to the elements ... 1157 kJ/mol of formula units

Cell: 4.965 4.948 4.948 Å, 90.00 90.00 90.00°
Each line ends with the local moment (μB).
Atoms (fractional coordinates):
Tc 0.000 0.500 0.000  1.58
Ca 0.500 0.500 0.500  -0.01
Hg 0.000 0.000 0.000  0.01
Re 0.500 0.000 0.000  -1.86
Tc 0.000 0.000 0.500  1.58



| no. | final energy (eV for the cell shown) |
| --- | --- |
| 1 | -16.666 |
| 2 | -16.117 |
| 3 | -26.572 |